Record 1
DFT (PBE) results for a relaxed structure of KCuI2.

Output
Density of states at the Fermi level ... 0.00 states/eV/cell
Total moment ... 0.00 μB per formula unit
Theoretical density ... 3.96 Mg/m³
Electronic total energy ... -2.83 eV per atom
E_form (uncorrected) ... -756 meV/atom

a b c (Å): 7.921 7.921 7.351
angles (deg): 57.40 57.40 90.00
Positions (direct):
I1 0.712 0.125 0.250
I2 0.038 0.625 0.250
I3 0.375 0.288 0.750
I4 0.875 0.962 0.750
K1 0.500 0.500 0.000
K2 0.250 0.750 0.500
Cu1 0.000 0.000 0.000
Cu2 0.750 0.250 0.500

Record 2
DFT (PBE) results for a relaxed structure of Pm9Tl2In.

Output
Density of states at the Fermi level ... 20.07 states/eV/cell
Total moment ... 1.73 μB per formula unit
Theoretical density ... 8.28 Mg/m³
Electronic total energy ... -4.41 eV per atom

a b c (Å): 4.962 4.962 14.894
angles (deg): 90.00 90.00 90.00
Positions (direct):
Pm1 0.500 0.500 0.000
Pm2 0.500 0.500 0.333
Pm3 0.500 0.500 0.667
Pm4 0.500 0.000 0.166
Pm5 0.500 0.000 0.500
Pm6 0.500 0.000 0.834
Pm7 0.000 0.500 0.166
Pm8 0.000 0.500 0.500
Pm9 0.000 0.500 0.834
Tl1 0.000 0.000 0.333
Tl2 0.000 0.000 0.667
In1 0.000 0.000 0.000

Record 3
DFT (PBE) results for a relaxed structure of Ca2SmTmSe4.

Output
Density of states at the Fermi level ... 3.42 states/eV/cell
Total moment ... 0.00 μB per formula unit
Theoretical density ... 5.90 Mg/m³
Electronic total energy ... -5.26 eV per atom
E_form (uncorrected) ... -1864 meV/atom

a b c (Å): 4.116 7.140 7.250
angles (deg): 109.11 90.00 90.00
Positions (direct):
Ca1 0.500 0.000 0.500
Ca2 0.000 0.500 0.500
Sm1 0.500 0.500 0.000
Tm1 0.000 0.000 0.000
Se1 0.500 0.241 0.244
Se2 0.500 0.759 0.756
Se3 0.000 0.243 0.751
Se4 0.000 0.757 0.249

Record 4
DFT (PBE) results for a relaxed structure of Ca2Al7Zn.

Output
Density of states at the Fermi level ... 3.03 states/eV/cell
Total moment ... 0.00 μB per formula unit
Theoretical density ... 2.66 Mg/m³
Electronic total energy ... -3.36 eV per atom

a b c (Å): 4.292 4.292 11.319
angles (deg): 90.00 90.00 90.00
Positions (direct):
Ca1 0.500 0.000 0.754
Ca2 0.000 0.500 0.246
Al1 0.000 0.500 0.865
Al2 0.500 0.000 0.361
Al3 0.500 0.000 0.135
Al4 0.000 0.500 0.639
Al5 0.000 0.000 0.500
Al6 0.000 0.000 0.000
Al7 0.500 0.500 0.500
Zn1 0.500 0.500 0.000

Record 5
DFT (PBE) results for a relaxed structure of Mg2AlPt3.

Output
Density of states at the Fermi level ... 2.78 states/eV/cell
Total moment ... 0.00 μB per formula unit
Theoretical density ... 11.88 Mg/m³
Electronic total energy ... -5.09 eV per atom

a b c (Å): 4.426 4.426 5.446
angles (deg): 90.00 90.00 120.00
Positions (direct):
Mg1 0.667 0.333 0.341
Mg2 0.333 0.667 0.659
Al1 0.000 0.000 0.000
Pt1 0.000 0.000 0.500
Pt2 0.667 0.333 0.847
Pt3 0.333 0.667 0.153

Record 6
DFT (PBE) results for a relaxed structure of IrPtWC2.

Output
Density of states at the Fermi level ... 6.64 states/eV/cell
Total moment ... 0.00 μB per formula unit
Theoretical density ... 12.56 Mg/m³
Electronic total energy ... -7.04 eV per atom

a b c (Å): 3.812 5.414 3.812
angles (deg): 90.00 90.00 90.00
Positions (direct):
C1 0.000 0.000 0.500
C2 0.500 0.000 0.000
Ir1 0.000 0.500 0.000
W1 0.500 0.500 0.500
Pt1 0.000 0.000 0.000

Record 7
DFT (PBE) results for a relaxed structure of Ba3Ga8Sn3.

Output
Density of states at the Fermi level ... 4.74 states/eV/cell
Total moment ... 0.00 μB per formula unit
Theoretical density ... 6.03 Mg/m³
Electronic total energy ... -3.37 eV per atom

a b c (Å): 4.816 9.226 9.241
angles (deg): 69.79 74.90 74.87
Positions (direct):
Ba1 0.317 0.683 0.683
Ba2 0.683 0.317 0.317
Ba3 0.000 0.000 0.000
Ga1 0.148 0.119 0.585
Ga2 0.852 0.881 0.415
Ga3 0.854 0.424 0.868
Ga4 0.146 0.576 0.132
Ga5 0.490 0.725 0.294
Ga6 0.510 0.275 0.706
Ga7 0.328 0.028 0.316
Ga8 0.672 0.972 0.684
Sn1 0.000 0.500 0.500
Sn2 0.658 0.710 0.974
Sn3 0.342 0.290 0.026

Record 8
DFT (PBE) results for a relaxed structure of BaCa3Pt.

Output
Density of states at the Fermi level ... 19.02 states/eV/cell
Total moment ... 0.00 μB per formula unit
Theoretical density ... 4.22 Mg/m³
Electronic total energy ... -3.16 eV per atom

a b c (Å): 7.022 11.478 8.846
angles (deg): 90.00 90.00 90.00
Positions (direct):
Ca1 0.146 0.005 0.819
Ca2 0.354 0.505 0.319
Ca3 0.354 0.995 0.319
Ca4 0.854 0.505 0.181
Ca5 0.854 0.995 0.181
Ca6 0.646 0.495 0.681
Ca7 0.646 0.005 0.681
Ca8 0.146 0.495 0.819
Ca9 0.739 0.250 0.921
Ca10 0.761 0.750 0.421
Ca11 0.261 0.750 0.079
Ca12 0.239 0.250 0.579
Ba1 0.781 0.250 0.422
Ba2 0.719 0.750 0.922
Ba3 0.219 0.750 0.578
Ba4 0.281 0.250 0.078
Pt1 0.000 0.000 0.500
Pt2 0.500 0.500 0.000
Pt3 0.500 0.000 0.000
Pt4 0.000 0.500 0.500